Below is Th2Zn3Cu12Rh after structural relaxation, with properties calculated at the PBE-GGA level.

Calculated values
DFT formation energy = 2.26 eV per formula unit

a = 9.826 Å, b = 9.826 Å, c = 9.826 Å
α = 36.14°, β = 36.14°, γ = 36.14°
Positions (direct):
1 Th 0.150 0.150 0.150
2 Th 0.850 0.850 0.850
3 Zn 0.000 0.500 0.500
4 Zn 0.500 0.000 0.500
5 Zn 0.500 0.500 0.000
6 Cu 0.081 0.081 0.691
7 Cu 0.081 0.691 0.081
8 Cu 0.133 0.578 0.578
9 Cu 0.309 0.919 0.919
10 Cu 0.422 0.422 0.867
11 Cu 0.422 0.867 0.422
12 Cu 0.578 0.133 0.578
13 Cu 0.578 0.578 0.133
14 Cu 0.691 0.081 0.081
15 Cu 0.867 0.422 0.422
16 Cu 0.919 0.309 0.919
17 Cu 0.919 0.919 0.309
18 Rh 0.500 0.500 0.500

Below is ThZnCuRh after structural relaxation, with properties calculated at the PBE-GGA level.

Calculated values
DFT formation energy = -1.90 eV per formula unit
Relative energy among the computed polymorphs = 0 meV/atom

a = 5.313 Å, b = 5.313 Å, c = 5.313 Å
α = 48.11°, β = 48.11°, γ = 48.11°
Positions (direct):
1 Th 0.000 0.000 0.000
2 Zn 0.503 0.503 0.503
3 Cu 0.792 0.792 0.792
4 Rh 0.218 0.218 0.218

Below is TiCu2Rh2 after structural relaxation, with properties calculated at the PBE-GGA level.

Calculated values
DFT formation energy = -0.44 eV per formula unit
Relative energy among the computed polymorphs = 26 meV/atom

a = 6.795 Å, b = 6.795 Å, c = 3.114 Å
α = 90.00°, β = 90.00°, γ = 90.00°
Positions (direct):
1 Ti 0.000 0.000 0.000
2 Ti 0.500 0.500 0.000
3 Cu 0.154 0.346 0.500
4 Cu 0.346 0.846 0.500
5 Cu 0.654 0.154 0.500
6 Cu 0.846 0.654 0.500
7 Rh 0.144 0.644 0.000
8 Rh 0.356 0.144 0.000
9 Rh 0.644 0.856 0.000
10 Rh 0.856 0.356 0.000

| no. | E (eV per cell) |
| --- | --- |
| 1 | -72.91 |
| 2 | -22.05 |
| 3 | -62.47 |